Record 1
NiMo3Br after structural relaxation. Source: Alexandria, functional PBE.

Geometry as POSCAR:
```
NiMo3Br
1.0
4.572 0.000 0.000
0.000 4.572 0.000
0.000 0.000 4.572
Ni Mo Br
1 3 1
direct
0.000 0.000 0.000
0.000 0.000 0.500
0.000 0.500 0.000
0.500 0.000 0.000
0.500 0.500 0.500
```

Calculated values
Its crystal system is cubic. The density of states at the Fermi level comes out at 10.72 states/eV per cell. The volume is 19.1 Å³/atom. The calculation puts the offset from the most stable computed form at 0.0 meV per atom. The raw formation energy is 1662 meV/atom. The symmetry is Pm-3m, No. 221.

Record 2
Ni4MoBr after structural relaxation. Source: Alexandria, functional PBE.

Geometry as POSCAR:
```
Ni4MoBr
1.0
0.000 3.407 3.407
3.407 0.000 3.407
3.407 3.407 0.000
Ni Mo Br
4 1 1
direct
0.124 0.124 0.124
0.124 0.124 0.627
0.124 0.627 0.124
0.627 0.124 0.124
0.750 0.750 0.750
0.500 0.500 0.500
```

Calculated values
Its crystal system is cubic. The density of states at the Fermi level comes out at 6.76 states/eV per cell. The volume is 13.2 Å³/atom. The raw formation energy is 536 meV/atom. The symmetry is F-43m, No. 216.

Q: The lowest raw formation energy belongs to which entry?
A: Ni4MoBr